Computed, not measured: a geometry-optimized Tm3PaN4 structure at the PBE-GGA level of DFT.

a b c (Å): 5.9269 5.9269 5.9269
angles (deg): 131.70 131.70 70.70
Fractional positions:
Tm 0.0000 0.0000 0.0000
Tm 0.2500 0.7500 0.5000
Tm 0.7500 0.2500 0.5000
Pa 0.5000 0.5000 0.0000
N 0.0000 0.5000 0.5000
N 0.2588 0.2588 0.0000
N 0.5000 0.0000 0.5000
N 0.7412 0.7412 0.0000

## Properties
- calculated total energy (eV per atom) = -8.806
- polymorph energy (0 for the lowest one) (eV/atom) = 0.0000
- formation energy without anion corrections (eV per atom) = -1.78
- density of states at the Fermi level (states/eV/cell) = 2.11